# KRh3

An optimized crystal structure of KRh3 (PBE-GGA, Alexandria via LeMat-Bulk).

Computed properties:
* E_form: 1.111 eV per atom
* N(E_F): 12.98 states/eV per cell
* total moment: 1.9 μB/f.u.
* total energy: -37.4 eV per cell

abc: 5.222 5.222 5.222
angles: 90.00 90.00 90.00
Sites, in units of the cell vectors:
K 0.000 0.000 0.000
K 0.500 0.500 0.500
Rh 0.000 0.250 0.500
Rh 0.000 0.750 0.500
Rh 0.250 0.500 0.000
Rh 0.500 0.000 0.250
Rh 0.500 0.000 0.750
Rh 0.750 0.500 0.000

***

# KRh3

An optimized crystal structure of KRh3 (PBE-GGA, Alexandria via LeMat-Bulk).

Computed properties:
* E_form: 0.980 eV per atom
* N(E_F): 8.46 states/eV per cell
* total moment: 0.9 μB/f.u.
* total energy: -19.2 eV per cell

abc: 4.097 4.097 4.097
angles: 90.00 90.00 90.00
Sites, in units of the cell vectors:
K 0.000 0.000 0.000
Rh 0.000 0.500 0.500
Rh 0.500 0.000 0.500
Rh 0.500 0.500 0.000

***

# KRh3

An optimized crystal structure of KRh3 (PBE-GGA, Alexandria via LeMat-Bulk).

Computed properties:
* E_form: 0.517 eV per atom
* N(E_F): 13.88 states/eV per cell
* total moment: 0.0 μB/f.u.
* total energy: -42.2 eV per cell

abc: 4.210 5.415 7.535
angles: 90.00 90.00 90.00
Sites, in units of the cell vectors:
K 0.250 0.250 0.072
K 0.750 0.750 0.928
Rh 0.250 0.507 0.613
Rh 0.250 0.750 0.319
Rh 0.250 0.993 0.613
Rh 0.750 0.007 0.387
Rh 0.750 0.250 0.681
Rh 0.750 0.493 0.387

***

# KRh2

An optimized crystal structure of KRh2 (PBE-GGA, Alexandria via LeMat-Bulk).

Computed properties:
* E_form: 0.419 eV per atom
* N(E_F): 7.28 states/eV per cell
* total moment: 0.0 μB/f.u.
* total energy: -29.1 eV per cell

abc: 4.729 4.729 11.945
angles: 105.47 105.47 34.81
Sites, in units of the cell vectors:
K 0.187 0.187 0.175
K 0.813 0.813 0.825
Rh 0.174 0.174 0.565
Rh 0.469 0.469 0.629
Rh 0.531 0.531 0.371
Rh 0.826 0.826 0.435

***

# KRu3Rh

An optimized crystal structure of KRu3Rh (PBE-GGA, Alexandria via LeMat-Bulk).

Computed properties:
* E_form: 1.692 eV per atom
* N(E_F): 8.73 states/eV per cell
* total moment: 3.1 μB/f.u.
* total energy: -27.8 eV per cell

abc: 4.808 4.808 4.808
angles: 90.00 90.00 90.00
Sites, in units of the cell vectors:
K 0.000 0.000 0.000
Ru 0.000 0.500 0.500
Ru 0.500 0.000 0.500
Ru 0.500 0.500 0.000
Rh 0.500 0.500 0.500

***

# K4RuRh

An optimized crystal structure of K4RuRh (PBE-GGA, Alexandria via LeMat-Bulk).

Computed properties:
* E_form: 1.383 eV per atom
* N(E_F): 5.68 states/eV per cell
* total moment: 2.8 μB/f.u.
* total energy: -12.7 eV per cell

abc: 6.408 6.408 6.408
angles: 60.00 60.00 60.00
Sites, in units of the cell vectors:
K 0.125 0.125 0.125
K 0.125 0.125 0.625
K 0.125 0.625 0.125
K 0.625 0.125 0.125
Ru 0.500 0.500 0.500
Rh 0.750 0.750 0.750